[1]
LiInP2O (PBE, relaxed); energy relative to the elements, uncorrected = 32.6 kJ per mole of atoms; energy above the lowest structure with this stoichiometry = 0.000 eV/atom; raw total energy = -3.748 eV/atom; symmetry = P4/mmm
1.0
4.845 0.000 0.000
0.000 4.845 0.000
0.000 0.000 3.422
In Li O P
1 1 1 2
Cartesian
2.422 2.422 1.711 In
0.000 0.000 0.000 Li
0.000 0.000 1.711 O
2.422 0.000 0.000 P
0.000 2.422 0.000 P

---

[2]
Sc2SeF (PBE, relaxed); energy relative to the elements, uncorrected = -179.1 kJ per mole of atoms; energy above the lowest structure with this stoichiometry = 0.000 eV/atom; raw total energy = -6.361 eV/atom; symmetry = R-3m
1.0
2.137 0.000 7.289
-1.069 1.851 7.289
-1.069 -1.851 7.289
Sc F Se
2 1 1
Cartesian
0.000 0.000 2.029 Sc
0.000 0.000 19.839 Sc
0.000 0.000 0.000 F
0.000 0.000 10.934 Se

---

[3]
LuZrGaNi (PBE, relaxed); calculated formation energy = -0.39 eV/atom; raw total energy = -5.859 eV/atom; symmetry = F-43m
1.0
-4.683 -0.753 -0.094
-2.131 -2.145 3.655
-2.858 2.475 2.865
Ga Zr Lu Ni
1 1 1 1
Cartesian
-7.254 -0.317 4.820 Ga
-4.836 -0.211 3.213 Zr
0.000 0.000 0.000 Lu
-2.418 -0.106 1.607 Ni

---

[4]
Na2CoWSe (PBE, relaxed); energy relative to the elements, uncorrected = 116.1 kJ per mole of atoms; raw total energy = -4.033 eV/atom; symmetry = P4/mmm
1.0
5.516 0.000 0.000
0.000 4.419 0.000
0.000 0.000 5.516
W Co Se Na
1 1 1 2
Cartesian
2.758 2.209 2.758 W
0.000 2.209 0.000 Co
0.000 0.000 0.000 Se
2.758 0.000 0.000 Na
0.000 0.000 2.758 Na

---

[5]
KRbNa2F (PBE, relaxed); energy relative to the elements, uncorrected = -80.4 kJ per mole of atoms; energy above the lowest structure with this stoichiometry = 0.000 eV/atom; raw total energy = -2.149 eV/atom; symmetry = P4/mmm
1.0
5.945 0.000 0.000
0.000 5.945 0.000
0.000 0.000 5.542
Rb F Na K
1 1 2 1
Cartesian
0.000 0.000 2.771 Rb
0.000 0.000 0.000 F
2.973 0.000 0.000 Na
0.000 2.973 0.000 Na
2.973 2.973 2.771 K

---

[6]
Pm3CO2 (PBE, relaxed); energy relative to the elements, uncorrected = -194.7 kJ per mole of atoms; raw total energy = -7.583 eV/atom; symmetry = Immm
1.0
3.624 0.000 0.000
0.000 5.102 0.000
0.000 0.000 10.809
Pm C O
6 2 4
Cartesian
2.718 0.000 1.772 Pm
0.906 2.551 3.633 Pm
2.718 0.000 9.037 Pm
0.906 2.551 0.000 Pm
0.906 2.551 7.177 Pm
2.718 0.000 5.405 Pm
2.718 2.551 5.405 C
0.906 0.000 0.000 C
0.906 0.000 7.151 O
2.718 2.551 1.746 O
2.718 2.551 9.063 O
0.906 0.000 3.658 O

---

[7]
BaCuPt2 (PBE, relaxed); calculated formation energy = -0.01 eV/atom; energy above the lowest structure with this stoichiometry = 0.480 eV/atom; raw total energy = -4.535 eV/atom; symmetry = P4mm
1.0
3.461 0.000 0.000
0.000 3.461 0.000
0.000 0.000 7.029
Ba Pt Cu
1 2 1
Cartesian
0.000 0.000 3.473 Ba
0.000 0.000 6.864 Pt
1.731 1.731 1.354 Pt
1.731 1.731 5.881 Cu

---

[8]
Pr6DyIn2 (PBE, relaxed); calculated formation energy = -0.20 eV/atom; energy above the lowest structure with this stoichiometry = 0.000 eV/atom; raw total energy = -4.504 eV/atom; symmetry = C2/m
1.0
0.381 -3.773 -0.774
3.491 -0.413 -5.938
11.619 -1.450 3.115
Pr Dy In
6 1 2
Cartesian
8.735 -1.158 0.269 Pr
6.755 -4.479 -3.867 Pr
3.490 -2.957 -3.217 Pr
12.000 -2.679 -0.381 Pr
9.776 -2.345 -3.104 Pr
5.715 -3.291 -0.494 Pr
0.000 0.000 0.000 Dy
12.801 -3.964 -3.397 In
2.689 -1.672 -0.201 In

---

- Among the records above, which one has the highest raw total energy?
  KRbNa2F

---

Copy entry 2 word for word.
Sc2SeF (PBE, relaxed); energy relative to the elements, uncorrected = -179.1 kJ per mole of atoms; energy above the lowest structure with this stoichiometry = 0.000 eV/atom; raw total energy = -6.361 eV/atom; symmetry = R-3m
1.0
2.137 0.000 7.289
-1.069 1.851 7.289
-1.069 -1.851 7.289
Sc F Se
2 1 1
Cartesian
0.000 0.000 2.029 Sc
0.000 0.000 19.839 Sc
0.000 0.000 0.000 F
0.000 0.000 10.934 Se

---

- The highest raw total energy belongs to which entry?
  KRbNa2F

---

- Among the records above, which one has the lowest raw total energy?
  Pm3CO2